A plane-wave DFT calculation with GGA-PBE was carried out for an optimized crystal structure of NiPBr2.

a b c (Å): 8.4756 8.4756 8.4756
angles (deg): 156.45 149.91 38.56
With the nearest neighbours (Å) after each atom.
Sites, in units of the cell vectors:
Ni (0.0000, 0.0000, 0.0000)  2 P 2.17, 2 Br 2.38
P (0.9185, 0.4185, 0.5000)  2 Ni 2.17
Br (0.1025, 0.6025, 0.5000)  2 Ni 2.38
Br (0.3452, 0.3452, 0.0000)  2 P 2.49

Output
Raw total energy = -14.9 eV/f.u.
E_form (uncorrected) = -0.094 eV per atom
N(E_F) = 1.3 states/eV/cell
Symmetry = Imm2, No. 44